# 1
Compound: RbTl2HgRh
Source: Alexandria
Functional: PBE-GGA
Structure: optimized geometry

Computed properties:
**Energy of formation**: -0.13 eV per atom
**Symmetry**: P4/mmm (123)
**ΔE to the lowest computed polymorph**: 0.000 eV/atom
**Magnetization**: 0.0 μB per formula unit
**VASP energy**: -2.797 eV per atom

Lattice parameters (Å, degrees): 5.3138 5.3138 5.4890 90.00 90.00 90.00
Sites, in units of the cell vectors:
Tl 0.0000 0.5000 0.0000
Tl 0.5000 0.0000 0.0000
Rh 0.0000 0.0000 0.0000
Hg 0.0000 0.0000 0.5000
Rb 0.5000 0.5000 0.5000

=====

# 2
Compound: RbHgRu3
Source: Alexandria
Functional: PBE-GGA
Structure: optimized geometry

Computed properties:
**Energy of formation**: 2.08 eV per atom
**Symmetry**: Pm-3m (221)
**ΔE to the lowest computed polymorph**: 0.000 eV/atom
**Magnetization**: 6.4 μB per formula unit
**VASP energy**: -3.740 eV per atom

Lattice parameters (Å, degrees): 5.1711 5.1711 5.1711 90.00 90.00 90.00
Sites, in units of the cell vectors:
Ru 0.0000 0.5000 0.0000
Ru 0.0000 0.0000 0.5000
Ru 0.5000 0.0000 0.0000
Hg 0.0000 0.0000 0.0000
Rb 0.5000 0.5000 0.5000

=====

# 3
Compound: RbHg3Ru
Source: Alexandria
Functional: PBE-GGA
Structure: optimized geometry

Computed properties:
**Energy of formation**: 1.35 eV per atom
**Symmetry**: Pm-3m (221)
**ΔE to the lowest computed polymorph**: 1.249 eV/atom
**Magnetization**: 3.0 μB per formula unit
**VASP energy**: -0.876 eV per atom

Lattice parameters (Å, degrees): 6.5268 6.5268 6.5268 90.00 90.00 90.00
Sites, in units of the cell vectors:
Ru 0.5000 0.5000 0.5000
Hg 0.0000 0.5000 0.0000
Hg 0.0000 0.0000 0.5000
Hg 0.5000 0.0000 0.0000
Rb 0.0000 0.0000 0.0000

=====

# 4
Compound: Rb3HgRu
Source: Alexandria
Functional: PBE-GGA
Structure: optimized geometry

Computed properties:
**Energy of formation**: 0.81 eV per atom
**Symmetry**: Pm-3m (221)
**ΔE to the lowest computed polymorph**: 0.000 eV/atom
**Magnetization**: 1.2 μB per formula unit
**VASP energy**: -1.687 eV per atom

Lattice parameters (Å, degrees): 6.4499 6.4499 6.4499 90.00 90.00 90.00
Sites, in units of the cell vectors:
Ru 0.0000 0.0000 0.0000
Hg 0.5000 0.5000 0.5000
Rb 0.0000 0.5000 0.0000
Rb 0.0000 0.0000 0.5000
Rb 0.5000 0.0000 0.0000

=====

# 5
Compound: RbHgRu2
Source: Alexandria
Functional: PBE-GGA
Structure: optimized geometry

Computed properties:
**Energy of formation**: 1.11 eV per atom
**Symmetry**: I-42d (122)
**Magnetization**: 0.0 μB per formula unit
**VASP energy**: -3.845 eV per atom

Lattice parameters (Å, degrees): 4.5127 4.5127 10.6942 77.82 77.82 90.00
Sites, in units of the cell vectors:
Ru 0.7786 0.1250 0.2500
Ru 0.9714 0.6250 0.2500
Ru 0.3750 0.2214 0.7500
Ru 0.8750 0.0286 0.7500
Hg 0.0000 0.0000 0.0000
Hg 0.7500 0.2500 0.5000
Rb 0.5000 0.5000 0.0000
Rb 0.2500 0.7500 0.5000

=====

# 6
Compound: Rb2HgRu
Source: Alexandria
Functional: PBE-GGA
Structure: optimized geometry

Computed properties:
**Energy of formation**: 1.09 eV per atom
**Symmetry**: I-42d (122)
**Magnetization**: 0.0 μB per formula unit
**VASP energy**: -1.787 eV per atom

Lattice parameters (Å, degrees): 4.4197 4.4197 12.0468 79.43 79.43 90.00
Sites, in units of the cell vectors:
Ru 0.5000 0.5000 0.0000
Ru 0.2500 0.7500 0.5000
Hg 0.0000 0.0000 0.0000
Hg 0.7500 0.2500 0.5000
Rb 0.6204 0.1250 0.2500
Rb 0.1296 0.6250 0.2500
Rb 0.3750 0.3796 0.7500
Rb 0.8750 0.8704 0.7500

=====

Q: Look up the magnetization of the second one.
A: 6.4 μB per formula unit

=====

Q: Number 5 is which compound?
A: RbHgRu2